(1)
Entry from the Alexandria database: an optimized crystal structure of Mn2MoAs (PBE).

```
data_Mn2MoAs
_space_group_name_H-M_alt 'P 1'
_space_group_IT_number 1
_cell_length_a 4.491
_cell_length_b 4.491
_cell_length_c 2.977
_cell_angle_alpha 90.00
_cell_angle_beta 90.00
_cell_angle_gamma 109.43
loop_
_space_group_symop_operation_xyz
'x,y,z'
loop_
_atom_site_label
_atom_site_type_symbol
_atom_site_fract_x
_atom_site_fract_y
_atom_site_fract_z
Mn1 Mn 0.500 0.500 0.000
Mn2 Mn 0.000 0.000 0.000
As1 As 0.000 0.500 0.500
Mo1 Mo 0.500 0.000 0.500
```

Summary:
formation energy: 0.10 eV/atom
volume: 14.160 Å³ per atom

(2)
Entry from the Alexandria database: an optimized crystal structure of MnMoAs2 (PBE).

```
data_MnMoAs2
_space_group_name_H-M_alt 'P 1'
_space_group_IT_number 1
_cell_length_a 10.345
_cell_length_b 10.345
_cell_length_c 10.345
_cell_angle_alpha 16.06
_cell_angle_beta 16.06
_cell_angle_gamma 16.06
loop_
_space_group_symop_operation_xyz
'x,y,z'
loop_
_atom_site_label
_atom_site_type_symbol
_atom_site_fract_x
_atom_site_fract_y
_atom_site_fract_z
Mn1 Mn 0.493 0.493 0.493
Mo1 Mo 0.761 0.761 0.761
As1 As 0.026 0.026 0.026
As2 As 0.220 0.220 0.220
```

Summary:
energy above the most stable polymorph in this dataset: 373 meV per atom
formation energy: 0.11 eV/atom
volume: 18.470 Å³ per atom

(3)
Entry from the Alexandria database: an optimized crystal structure of MnMo2As2 (PBE).

```
data_MnMo2As2
_space_group_name_H-M_alt 'P 1'
_space_group_IT_number 1
_cell_length_a 7.050
_cell_length_b 7.050
_cell_length_c 3.169
_cell_angle_alpha 90.00
_cell_angle_beta 90.00
_cell_angle_gamma 90.00
loop_
_space_group_symop_operation_xyz
'x,y,z'
loop_
_atom_site_label
_atom_site_type_symbol
_atom_site_fract_x
_atom_site_fract_y
_atom_site_fract_z
Mo1 Mo 0.354 0.146 0.500
Mo2 Mo 0.854 0.354 0.500
Mo3 Mo 0.646 0.854 0.500
Mo4 Mo 0.146 0.646 0.500
As1 As 0.152 0.348 0.000
As2 As 0.652 0.152 0.000
As3 As 0.848 0.652 0.000
As4 As 0.348 0.848 0.000
Mn1 Mn 0.000 0.000 0.000
Mn2 Mn 0.500 0.500 0.000
```

Summary:
formation energy: 0.08 eV/atom
volume: 15.751 Å³ per atom

- What is the volume in the second record?
  18.470 Å³ per atom

- Look up the volume of the second one.
  18.470 Å³ per atom

Repeat the second record exactly.
Entry from the Alexandria database: an optimized crystal structure of MnMoAs2 (PBE).

```
data_MnMoAs2
_space_group_name_H-M_alt 'P 1'
_space_group_IT_number 1
_cell_length_a 10.345
_cell_length_b 10.345
_cell_length_c 10.345
_cell_angle_alpha 16.06
_cell_angle_beta 16.06
_cell_angle_gamma 16.06
loop_
_space_group_symop_operation_xyz
'x,y,z'
loop_
_atom_site_label
_atom_site_type_symbol
_atom_site_fract_x
_atom_site_fract_y
_atom_site_fract_z
Mn1 Mn 0.493 0.493 0.493
Mo1 Mo 0.761 0.761 0.761
As1 As 0.026 0.026 0.026
As2 As 0.220 0.220 0.220
```

Summary:
energy above the most stable polymorph in this dataset: 373 meV per atom
formation energy: 0.11 eV/atom
volume: 18.470 Å³ per atom

- The lowest volume belongs to which entry?
  Mn2MoAs